No. 1
Density functional theory data (PBE) for a relaxed structure of AcTbDy.

Excess energy over the best structure of this formula in the dataset = 0.1731 eV/atom
Total magnetization = 0.00 μB/cell
Uncorrected energy = -4.216 eV per atom
Space-group type = P4/nmm

```
AcTbDy
1.0
5.0528 0.0000 0.0000
0.0000 5.0528 0.0000
0.0000 0.0000 8.8973
Tb Dy Ac
2 2 2
Direct
0.0000 0.0000 0.0000 Tb
0.5000 0.5000 0.0000 Tb
0.0000 0.5000 0.7267 Dy
0.5000 0.0000 0.2733 Dy
0.0000 0.5000 0.3197 Ac
0.5000 0.0000 0.6803 Ac
```

=====

No. 2
Density functional theory data (PBE) for a relaxed structure of Ac8Tb5Dy.

Total magnetization = 0.00 μB/cell
Uncorrected energy = -4.054 eV per atom
Space-group type = I-4

```
Ac8Tb5Dy
1.0
-5.0930 7.2525 1.8144
-5.0349 -7.5094 -0.2910
6.1847 -0.4935 6.5831
Ac Tb Dy
8 5 1
Direct
0.1624 0.7279 0.0703 Ac
0.9297 0.0922 0.6576 Ac
0.7380 0.2605 0.3430 Ac
0.6570 0.3950 0.9175 Ac
0.5225 0.6050 0.2620 Ac
0.5655 0.9078 0.8375 Ac
0.3424 0.2721 0.4345 Ac
0.0825 0.7395 0.4775 Ac
0.0285 0.2988 0.1249 Tb
0.8751 0.9036 0.1739 Tb
0.8261 0.7012 0.7297 Tb
0.5000 0.0000 0.5000 Tb
0.2703 0.0964 0.9715 Tb
0.2500 0.5000 0.7500 Dy
```

=====

No. 3
Density functional theory data (PBE) for a relaxed structure of AcTb5Dy7.

Total magnetization = 0.00 μB/cell
Uncorrected energy = -4.336 eV per atom
Space-group type = Imm2

```
AcTb5Dy7
1.0
6.2453 0.0000 2.2886
2.9914 8.1071 1.5024
0.3305 -0.1280 8.7639
Ac Tb Dy
1 5 7
Direct
0.9759 0.0241 0.0241 Ac
0.5302 0.9981 0.4664 Tb
0.0053 0.9981 0.4664 Tb
0.5302 0.4664 0.9981 Tb
0.0053 0.4664 0.9981 Tb
0.7560 0.7440 0.7440 Tb
0.5834 0.4166 0.4166 Dy
0.2874 0.7126 0.7126 Dy
0.0150 0.3240 0.6460 Dy
0.0150 0.6460 0.3240 Dy
0.2633 0.2367 0.2367 Dy
0.5165 0.8069 0.1602 Dy
0.5165 0.1602 0.8069 Dy
```

=====

No. 4
Density functional theory data (PBE) for a relaxed structure of Ac8Tb3Dy2.

Total magnetization = 0.00 μB/cell
Uncorrected energy = -4.244 eV per atom
Space-group type = P-1

```
Ac8Tb3Dy2
1.0
6.4325 0.8425 1.4901
-0.3706 5.6839 3.3921
-1.3767 -2.3230 12.3392
Ac Tb Dy
8 3 2
Direct
0.0838 0.3930 0.1504 Ac
0.9162 0.6070 0.8496 Ac
0.1538 0.7734 0.3077 Ac
0.8462 0.2266 0.6923 Ac
0.3836 0.9214 0.7753 Ac
0.3068 0.5452 0.6156 Ac
0.6932 0.4548 0.3844 Ac
0.6164 0.0786 0.2247 Ac
0.0000 0.0000 0.0000 Tb
0.4616 0.2987 0.9267 Tb
0.5384 0.7013 0.0733 Tb
0.7664 0.8514 0.5369 Dy
0.2336 0.1486 0.4631 Dy
```

=====

What did the third record say?
Density functional theory data (PBE) for a relaxed structure of AcTb5Dy7.

Total magnetization = 0.00 μB/cell
Uncorrected energy = -4.336 eV per atom
Space-group type = Imm2

```
AcTb5Dy7
1.0
6.2453 0.0000 2.2886
2.9914 8.1071 1.5024
0.3305 -0.1280 8.7639
Ac Tb Dy
1 5 7
Direct
0.9759 0.0241 0.0241 Ac
0.5302 0.9981 0.4664 Tb
0.0053 0.9981 0.4664 Tb
0.5302 0.4664 0.9981 Tb
0.0053 0.4664 0.9981 Tb
0.7560 0.7440 0.7440 Tb
0.5834 0.4166 0.4166 Dy
0.2874 0.7126 0.7126 Dy
0.0150 0.3240 0.6460 Dy
0.0150 0.6460 0.3240 Dy
0.2633 0.2367 0.2367 Dy
0.5165 0.8069 0.1602 Dy
0.5165 0.1602 0.8069 Dy
```

=====

Which value of uncorrected energy does entry 2 give?
-4.054 eV per atom

=====

Look up the uncorrected energy of the second one.
-4.054 eV per atom